[1]
# K2HfF6, optimized geometry, DFT PBEsol
# - ΔE_f (raw): -31.33 eV/f.u.
# - Calculated density: 4.86 g/cm3
# - Crystal system: monoclinic
# - V: 14.08 A^3/atom
data_K2HfF6
_symmetry_space_group_name_H-M 'P 1'
_symmetry_Int_Tables_number 1
_cell_length_a 6.522
_cell_length_b 6.558
_cell_length_c 6.828
_cell_angle_alpha 90.30
_cell_angle_beta 90.61
_cell_angle_gamma 60.18
loop_
_symmetry_equiv_pos_as_xyz
'x,y,z'
loop_
_atom_site_label
_atom_site_type_symbol
_atom_site_fract_x
_atom_site_fract_y
_atom_site_fract_z
K1 K 0.638 0.687 0.998
K2 K 0.362 0.313 0.002
K3 K 0.675 0.687 0.502
K4 K 0.325 0.313 0.498
Hf1 Hf 0.048 0.903 0.250
Hf2 Hf 0.952 0.097 0.750
F1 F 0.871 0.197 0.046
F2 F 0.722 0.974 0.778
F3 F 0.129 0.803 0.954
F4 F 0.068 0.803 0.546
F5 F 0.303 0.974 0.722
F6 F 0.996 0.387 0.774
F7 F 0.697 0.026 0.278
F8 F 0.004 0.613 0.226
F9 F 0.278 0.026 0.222
F10 F 0.617 0.387 0.726
F11 F 0.383 0.613 0.274
F12 F 0.932 0.197 0.454

[2]
# PbAu2, optimized geometry, DFT PBEsol
# - Calculated density: 16.11 g/cm3
# - Calculated formation energy: 0.1 eV per formula unit
# - Crystal system: tetragonal
# - V: 20.65 A^3/atom
data_PbAu2
_symmetry_space_group_name_H-M 'P 1'
_symmetry_Int_Tables_number 1
_cell_length_a 3.776
_cell_length_b 3.776
_cell_length_c 5.100
_cell_angle_alpha 111.73
_cell_angle_beta 111.73
_cell_angle_gamma 90.00
loop_
_symmetry_equiv_pos_as_xyz
'x,y,z'
loop_
_atom_site_label
_atom_site_type_symbol
_atom_site_fract_x
_atom_site_fract_y
_atom_site_fract_z
Au1 Au 0.169 0.169 0.337
Au2 Au 0.831 0.831 0.663
Pb1 Pb 0.500 0.500 0.000

[3]
# Li2SbPb, optimized geometry, DFT PBEsol
# - ΔE_f (raw): -1.45 eV/f.u.
# - Distance to the lowest polymorph of the same formula: 0.0246 eV per atom
# - Calculated density: 6.59 g/cm3
# - Crystal system: orthorhombic
# - V: 21.61 A^3/atom
data_Li2SbPb
_symmetry_space_group_name_H-M 'P 1'
_symmetry_Int_Tables_number 1
_cell_length_a 3.135
_cell_length_b 4.115
_cell_length_c 6.700
_cell_angle_alpha 90.00
_cell_angle_beta 90.00
_cell_angle_gamma 90.00
loop_
_symmetry_equiv_pos_as_xyz
'x,y,z'
loop_
_atom_site_label
_atom_site_type_symbol
_atom_site_fract_x
_atom_site_fract_y
_atom_site_fract_z
Sb1 Sb 0.500 0.500 0.500
Pb1 Pb 0.500 0.500 0.000
Li1 Li 0.000 0.000 0.725
Li2 Li 0.000 0.000 0.275

[4]
# AlMoOs3, optimized geometry, DFT PBEsol
# - Calculated density: 14.38 g/cm3
# - Calculated formation energy: 8.2 eV per formula unit
# - Crystal system: cubic
# - V: 16.02 A^3/atom
data_AlMoOs3
_symmetry_space_group_name_H-M 'P 1'
_symmetry_Int_Tables_number 1
_cell_length_a 4.310
_cell_length_b 4.310
_cell_length_c 4.310
_cell_angle_alpha 90.00
_cell_angle_beta 90.00
_cell_angle_gamma 90.00
loop_
_symmetry_equiv_pos_as_xyz
'x,y,z'
loop_
_atom_site_label
_atom_site_type_symbol
_atom_site_fract_x
_atom_site_fract_y
_atom_site_fract_z
Os1 Os 0.500 0.000 0.000
Os2 Os 0.000 0.500 0.000
Os3 Os 0.000 0.000 0.500
Mo1 Mo 0.500 0.500 0.500
Al1 Al 0.000 0.000 0.000

[5]
# LiSbMo2, optimized geometry, DFT PBEsol
# - ΔE_f (raw): 1.79 eV/f.u.
# - Calculated density: 8.30 g/cm3
# - Crystal system: orthorhombic
# - V: 16.04 A^3/atom
data_LiSbMo2
_symmetry_space_group_name_H-M 'P 1'
_symmetry_Int_Tables_number 1
_cell_length_a 2.955
_cell_length_b 4.912
_cell_length_c 4.912
_cell_angle_alpha 115.86
_cell_angle_beta 90.00
_cell_angle_gamma 90.00
loop_
_symmetry_equiv_pos_as_xyz
'x,y,z'
loop_
_atom_site_label
_atom_site_type_symbol
_atom_site_fract_x
_atom_site_fract_y
_atom_site_fract_z
Mo1 Mo 0.000 0.000 0.500
Mo2 Mo 0.000 0.500 0.000
Li1 Li 0.500 0.500 0.500
Sb1 Sb 0.500 0.000 0.000

[6]
# RbTeN2Cl, optimized geometry, DFT PBEsol
# - ΔE_f (raw): 8.44 eV/f.u.
# - Calculated density: 2.90 g/cm3
# - Crystal system: tetragonal
# - V: 31.62 A^3/atom
data_RbTeN2Cl
_symmetry_space_group_name_H-M 'P 1'
_symmetry_Int_Tables_number 1
_cell_length_a 5.200
_cell_length_b 5.514
_cell_length_c 5.514
_cell_angle_alpha 90.00
_cell_angle_beta 90.00
_cell_angle_gamma 90.00
loop_
_symmetry_equiv_pos_as_xyz
'x,y,z'
loop_
_atom_site_label
_atom_site_type_symbol
_atom_site_fract_x
_atom_site_fract_y
_atom_site_fract_z
Rb1 Rb 0.500 0.500 0.500
Te1 Te 0.500 0.000 0.000
N1 N 0.000 0.500 0.000
N2 N 0.000 0.000 0.500
Cl1 Cl 0.000 0.000 0.000

[7]
# KBaIr3, optimized geometry, DFT PBEsol
# - Calculated density: 8.96 g/cm3
# - Calculated formation energy: 12.4 eV per formula unit
# - Crystal system: cubic
# - V: 27.90 A^3/atom
data_KBaIr3
_symmetry_space_group_name_H-M 'P 1'
_symmetry_Int_Tables_number 1
_cell_length_a 5.186
_cell_length_b 5.186
_cell_length_c 5.186
_cell_angle_alpha 90.00
_cell_angle_beta 90.00
_cell_angle_gamma 90.00
loop_
_symmetry_equiv_pos_as_xyz
'x,y,z'
loop_
_atom_site_label
_atom_site_type_symbol
_atom_site_fract_x
_atom_site_fract_y
_atom_site_fract_z
K1 K 0.500 0.500 0.500
Ir1 Ir 0.000 0.500 0.000
Ir2 Ir 0.500 0.000 0.000
Ir3 Ir 0.000 0.000 0.500
Ba1 Ba 0.000 0.000 0.000

[8]
# Al3Ru, optimized geometry, DFT PBEsol
# - Calculated density: 5.00 g/cm3
# - Calculated formation energy: -0.9 eV per formula unit
# - Crystal system: trigonal
# - V: 15.10 A^3/atom
data_Al3Ru
_symmetry_space_group_name_H-M 'P 1'
_symmetry_Int_Tables_number 1
_cell_length_a 2.880
_cell_length_b 2.880
_cell_length_c 8.577
_cell_angle_alpha 80.34
_cell_angle_beta 80.34
_cell_angle_gamma 60.00
loop_
_symmetry_equiv_pos_as_xyz
'x,y,z'
loop_
_atom_site_label
_atom_site_type_symbol
_atom_site_fract_x
_atom_site_fract_y
_atom_site_fract_z
Al1 Al 0.500 0.500 0.500
Al2 Al 0.742 0.742 0.774
Al3 Al 0.258 0.258 0.226
Ru1 Ru 0.000 0.000 0.000

Q: The highest calculated density belongs to which entry?
A: PbAu2

Q: What is the formula in the fifth record?
A: LiSbMo2

Q: V of number 6 (RbTeN2Cl)?
A: 31.62 A^3/atom